BeZnOs (PBE-GGA, optimized geometry); formation energy from the elements = 0.082 eV/atom; magnetic moment = 0.00 μB/atom; raw total energy = -5.328 eV per atom; distance to the lowest polymorph of the same formula = 0.3 kJ/mol of formula units
1.0
-1.450 1.450 4.414
1.450 -1.450 4.414
1.450 1.450 -4.414
Be Zn Os
1 1 1
direct
0.000 0.000 0.000
0.680 0.680 0.000
0.375 0.375 0.000